[1]
# CeSm3Y2Ho6

CeSm3Y2Ho6 after structural relaxation (PBE-GGA, the Alexandria database).

Cell: 6.1716 6.1716 11.7791 Å, 95.00 95.00 119.99°
Last column: nearest neighbours and their distance in Å.
Sites, in units of the cell vectors:
Ce  0.0000  0.0000  0.0000  6 Ho 3.53, 6 Y 3.56
Sm  0.1676  0.8324  0.5000  6 Sm 3.55-3.58, 6 Ho 3.57
Sm  0.5000  0.5000  0.5000  6 Sm 3.55-3.57, 6 Ho 3.56-3.58
Sm  0.8324  0.1676  0.5000  6 Sm 3.55-3.58, 6 Ho 3.57
Y  0.3333  0.6667  0.0000  6 Ho 3.55, 3 Ce 3.56, 3 Y 3.56
Y  0.6667  0.3333  0.0000  6 Ho 3.55, 3 Ce 3.56, 3 Y 3.56
Ho  0.0832  0.4137  0.2485  1 Ce 3.53, 6 Ho 3.53-3.58, 2 Y 3.55, 3 Sm 3.56-3.57
Ho  0.2476  0.2476  0.7513  1 Ce 3.53, 6 Ho 3.53-3.58, 2 Y 3.55, 3 Sm 3.57-3.58
Ho  0.4137  0.0832  0.2485  1 Ce 3.53, 6 Ho 3.53-3.58, 2 Y 3.55, 3 Sm 3.56-3.57
Ho  0.5863  0.9168  0.7515  1 Ce 3.53, 6 Ho 3.53-3.58, 2 Y 3.55, 3 Sm 3.56-3.57
Ho  0.7524  0.7524  0.2487  1 Ce 3.53, 6 Ho 3.53-3.58, 2 Y 3.55, 3 Sm 3.57-3.58
Ho  0.9168  0.5863  0.7515  1 Ce 3.53, 6 Ho 3.53-3.58, 2 Y 3.55, 3 Sm 3.56-3.57

Calculated values
space group = C2/m (12)
calculated total energy = -60.05 eV per cell
energy of formation from the pure elements = 36.0 meV/atom



[2]
# ZrBiIO6

ZrBiIO6 after structural relaxation (PBE-GGA, the Alexandria database).

Cell: 5.5988 5.5988 9.9148 Å, 90.00 90.00 120.00°
Last column: nearest neighbours and their distance in Å.
Sites, in units of the cell vectors:
Zr  0.3333  0.6667  0.2500  6 O 2.13
Zr  0.6667  0.3333  0.7500  6 O 2.13
Bi  0.0000  0.0000  0.0000  6 O 2.42
Bi  0.0000  0.0000  0.5000  6 O 2.42
I  0.3333  0.6667  0.7500  6 O 2.11
I  0.6667  0.3333  0.2500  6 O 2.11
O  0.0024  0.3580  0.6370  1 I 2.11, 1 Zr 2.13
O  0.0024  0.6443  0.8630  1 I 2.11, 1 Zr 2.13
O  0.3557  0.3580  0.8630  1 I 2.11, 1 Zr 2.13
O  0.3557  0.9976  0.6370  1 I 2.11, 1 Zr 2.13
O  0.3580  0.0024  0.1370  1 I 2.11, 1 Zr 2.13
O  0.3580  0.3557  0.3630  1 I 2.11, 1 Zr 2.13
O  0.6420  0.6443  0.6370  1 I 2.11, 1 Zr 2.13
O  0.6420  0.9976  0.8630  1 I 2.11, 1 Zr 2.13
O  0.6443  0.0024  0.3630  1 I 2.11, 1 Zr 2.13
O  0.6443  0.6420  0.1370  1 I 2.11, 1 Zr 2.13
O  0.9976  0.3557  0.1370  1 I 2.11, 1 Zr 2.13
O  0.9976  0.6420  0.3630  1 I 2.11, 1 Zr 2.13

Calculated values
space group = P-31c (163)
calculated total energy = -114.00 eV per cell



[3]
# K2CuHgBr6

K2CuHgBr6 after structural relaxation (PBE-GGA, the Alexandria database).

Cell: 8.0876 7.6124 13.1110 Å, 90.00 124.79 90.00°
Last column: nearest neighbours and their distance in Å.
Sites, in units of the cell vectors:
K  0.2488  0.0418  0.2497  5 Br 3.32-3.70
K  0.2488  0.4582  0.7497  5 Br 3.32-3.70
K  0.7512  0.5418  0.2503  5 Br 3.32-3.70
K  0.7512  0.9582  0.7503  5 Br 3.32-3.70
Cu  0.0000  0.0000  0.5000  4 Br 2.45-2.47
Cu  0.0000  0.5000  0.0000  4 Br 2.45-2.47
Hg  0.5000  0.0000  0.0000  2 Br 2.53
Hg  0.5000  0.5000  0.5000  2 Br 2.53
Br  0.1308  0.0347  0.7199  1 Cu 2.45
Br  0.1308  0.4653  0.2199  1 Cu 2.45
Br  0.2291  0.7485  0.5519  1 Cu 2.47
Br  0.2291  0.7515  0.0519  1 Cu 2.47
Br  0.3615  0.2335  0.5426  1 Hg 2.53
Br  0.3615  0.2665  0.0426  1 Hg 2.53
Br  0.6385  0.7335  0.9574  1 Hg 2.53
Br  0.6385  0.7665  0.4574  1 Hg 2.53
Br  0.7709  0.2485  0.9481  1 Cu 2.47
Br  0.7709  0.2515  0.4481  1 Cu 2.47
Br  0.8692  0.5347  0.7801  1 Cu 2.45
Br  0.8692  0.9653  0.2801  1 Cu 2.45

Calculated values
space group = P2_1/c (14)
calculated total energy = -51.28 eV per cell



[4]
# SiPbS3

SiPbS3 after structural relaxation (PBE-GGA, the Alexandria database).

Cell: 8.2742 8.2742 8.2742 Å, 131.04 101.21 98.57°
Last column: nearest neighbours and their distance in Å.
Sites, in units of the cell vectors:
Si  0.1593  0.2500  0.4093  3 S 2.04-2.05
Si  0.8407  0.7500  0.5907  3 S 2.04-2.05
Pb  0.2923  0.8723  0.9200  3 S 2.79-2.81
Pb  0.9523  0.3723  0.0800  3 S 2.79-2.81
S  0.0874  0.9283  0.6591  1 Si 2.05
S  0.1094  0.4255  0.7047  1 Si 2.04
S  0.1094  0.9047  0.1838  1 Si 2.04
S  0.2691  0.4283  0.3409  1 Si 2.05
S  0.7209  0.4047  0.2953  1 Si 2.04
S  0.7209  0.9255  0.8162  1 Si 2.04

Calculated values
space group = Ima2 (46)
calculated total energy = -47.41 eV per cell
energy above the most stable polymorph in this dataset = 107 meV/atom



[5]
# Nd4Er5Al

Nd4Er5Al after structural relaxation (PBE-GGA, the Alexandria database).

Cell: 3.5779 3.5779 24.1508 Å, 90.00 90.00 90.00°
Last column: nearest neighbours and their distance in Å.
Sites, in units of the cell vectors:
Nd  0.0000  0.0000  0.1051  4 Nd 3.58, 8 Er 3.58-3.59
Nd  0.0000  0.0000  0.3170  4 Nd 3.58, 8 Er 3.61-3.62
Nd  0.0000  0.0000  0.6830  4 Nd 3.58, 8 Er 3.61-3.62
Nd  0.0000  0.0000  0.8949  4 Nd 3.58, 8 Er 3.58-3.59
Er  0.5000  0.5000  0.0000  4 Er 3.58, 8 Nd 3.58
Er  0.5000  0.5000  0.2106  4 Er 3.58, 8 Nd 3.59-3.61
Er  0.5000  0.5000  0.4242  4 Al 3.12
Er  0.5000  0.5000  0.5758  4 Al 3.12
Er  0.5000  0.5000  0.7894  4 Er 3.58, 8 Nd 3.59-3.61
Al  0.0000  0.0000  0.5000  8 Er 3.12

Calculated values
space group = P4/mmm (123)
calculated total energy = -46.27 eV per cell
energy of formation from the pure elements = -63.8 meV/atom
energy above the most stable polymorph in this dataset = 0 meV/atom



[6]
# La2Fe5Co12

La2Fe5Co12 after structural relaxation (PBE-GGA, the Alexandria database).

Cell: 6.3901 6.3901 6.3901 Å, 82.93 82.93 82.93°
Last column: nearest neighbours and their distance in Å.
Sites, in units of the cell vectors:
La  0.1561  0.1561  0.1561  15 Co 3.05-3.20, 4 Fe 3.08-3.28
La  0.8439  0.8439  0.8439  15 Co 3.05-3.20, 4 Fe 3.08-3.28
Fe  0.0000  0.5000  0.5000  8 Co 2.41-2.44, 2 Fe 2.60
Fe  0.4051  0.4051  0.4051  4 Fe 2.35-2.60, 3 Co 2.62
Fe  0.5000  0.0000  0.5000  8 Co 2.41-2.44, 2 Fe 2.60
Fe  0.5000  0.5000  0.0000  8 Co 2.41-2.44, 2 Fe 2.60
Fe  0.5949  0.5949  0.5949  4 Fe 2.35-2.60, 3 Co 2.62
Co  0.1583  0.1583  0.6541  3 Fe 2.44-2.62, 6 Co 2.48-2.67
Co  0.1583  0.6541  0.1583  3 Fe 2.44-2.62, 6 Co 2.48-2.67
Co  0.2161  0.5000  0.7839  6 Co 2.40-2.67, 4 Fe 2.41-2.67
Co  0.2161  0.7839  0.5000  6 Co 2.40-2.67, 4 Fe 2.41-2.67
Co  0.3459  0.8417  0.8417  3 Fe 2.44-2.62, 6 Co 2.48-2.67
Co  0.5000  0.2161  0.7839  6 Co 2.40-2.67, 4 Fe 2.41-2.67
Co  0.5000  0.7839  0.2161  6 Co 2.40-2.67, 4 Fe 2.41-2.67
Co  0.6541  0.1583  0.1583  3 Fe 2.44-2.62, 6 Co 2.48-2.67
Co  0.7839  0.2161  0.5000  6 Co 2.40-2.67, 4 Fe 2.41-2.67
Co  0.7839  0.5000  0.2161  6 Co 2.40-2.67, 4 Fe 2.41-2.67
Co  0.8417  0.3459  0.8417  3 Fe 2.44-2.62, 6 Co 2.48-2.67
Co  0.8417  0.8417  0.3459  3 Fe 2.44-2.62, 6 Co 2.48-2.67

Calculated values
space group = R-3m (166)
calculated total energy = -138.17 eV per cell
energy of formation from the pure elements = -38.3 meV/atom